The following is a DFT calculation (GGA-PBE) of a geometry-optimized LaHgP structure.

Geometry as POSCAR:
```
LaHgP
1.0
2.472 1.427 8.567
-2.472 1.427 8.567
0.000 -2.854 8.567
La Hg P
2 2 2
direct
0.104 0.104 0.104
0.896 0.896 0.896
0.321 0.321 0.321
0.679 0.679 0.679
0.215 0.215 0.215
0.785 0.785 0.785
```

Results
Energy of formation = -0.79 eV/atom
E above lowest polymorph = 0.00 eV/f.u.
Calculated volume = 30.2 A^3/atom